1.
CsCd3Ir: optimized geometry, GGA-PBE.

Calculated values
The total energy comes out at -2.49 eV/atom.

Cell: 5.3714 5.3714 5.3714 Å, 90.00 90.00 90.00°
Fractional coordinates of all 5 atoms:
Cs (0.0000, 0.0000, 0.0000)
Cd (0.0000, 0.5000, 0.5000)
Cd (0.5000, 0.0000, 0.5000)
Cd (0.5000, 0.5000, 0.0000)
Ir (0.5000, 0.5000, 0.5000)



2.
ErTmBe2: optimized geometry, GGA-PBE.

Calculated values
The calculation puts the polymorph energy (0 for the lowest one) at 0.000 eV per atom.

Cell: 4.7650 4.7650 4.7650 Å, 60.00 60.00 60.00°
Fractional coordinates of all 4 atoms:
Er (0.0000, 0.0000, 0.0000)
Tm (0.5000, 0.5000, 0.5000)
Be (0.2500, 0.2500, 0.2500)
Be (0.7500, 0.7500, 0.7500)



- What is the formula in the second record?
  ErTmBe2